# 1
# KYSbTe2

A relaxed structure of KYSbTe2 (PBE, the Alexandria database).

Cell and atoms, written as CIF:
```
data_KYSbTe2
_space_group_name_H-M_alt 'P 1'
_space_group_IT_number 1
_cell_length_a 5.8289
_cell_length_b 5.8289
_cell_length_c 5.5181
_cell_angle_alpha 90.00
_cell_angle_beta 90.00
_cell_angle_gamma 90.00
loop_
_space_group_symop_operation_xyz
'x,y,z'
loop_
_atom_site_label
_atom_site_type_symbol
_atom_site_fract_x
_atom_site_fract_y
_atom_site_fract_z
Te1 Te 0.0000 0.5000 0.0000
Te2 Te 0.5000 0.0000 0.0000
Y1 Y 0.5000 0.5000 0.5000
K1 K 0.0000 0.0000 0.0000
Sb1 Sb 0.0000 0.0000 0.5000
```

- Symmetry: P4/mmm (123)
- Raw formation energy: 530 meV per atom
- Fermi-level density of states: 0.630 states/eV/atom
- Relative energy among the computed polymorphs: 104.6 kJ/mol of atoms

***

# 2
# KYSbTe2

A relaxed structure of KYSbTe2 (PBE, the Alexandria database).

Cell and atoms, written as CIF:
```
data_KYSbTe2
_space_group_name_H-M_alt 'P 1'
_space_group_IT_number 1
_cell_length_a 5.9460
_cell_length_b 5.9460
_cell_length_c 5.8890
_cell_angle_alpha 90.00
_cell_angle_beta 90.00
_cell_angle_gamma 90.00
loop_
_space_group_symop_operation_xyz
'x,y,z'
loop_
_atom_site_label
_atom_site_type_symbol
_atom_site_fract_x
_atom_site_fract_y
_atom_site_fract_z
K1 K 0.5000 0.5000 0.5000
Sb1 Sb 0.0000 0.0000 0.5000
Te1 Te 0.0000 0.5000 0.0000
Te2 Te 0.5000 0.0000 0.0000
Y1 Y 0.0000 0.0000 0.0000
```

- Symmetry: P4/mmm (123)
- Raw formation energy: -554 meV per atom
- Fermi-level density of states: 1.055 states/eV/atom
- Relative energy among the computed polymorphs: 0.0 kJ/mol of atoms

***

# 3
# KZnSb2Te

A relaxed structure of KZnSb2Te (PBE, the Alexandria database).

Cell and atoms, written as CIF:
```
data_KZnSb2Te
_space_group_name_H-M_alt 'P 1'
_space_group_IT_number 1
_cell_length_a 5.9768
_cell_length_b 5.9768
_cell_length_c 5.9742
_cell_angle_alpha 90.00
_cell_angle_beta 90.00
_cell_angle_gamma 90.00
loop_
_space_group_symop_operation_xyz
'x,y,z'
loop_
_atom_site_label
_atom_site_type_symbol
_atom_site_fract_x
_atom_site_fract_y
_atom_site_fract_z
Sb1 Sb 0.0000 0.5000 0.0000
Sb2 Sb 0.5000 0.0000 0.0000
Te1 Te 0.0000 0.0000 0.5000
K1 K 0.0000 0.0000 0.0000
Zn1 Zn 0.5000 0.5000 0.5000
```

- Symmetry: P4/mmm (123)
- Raw formation energy: 1151 meV per atom
- Fermi-level density of states: 1.279 states/eV/atom
- Relative energy among the computed polymorphs: 104.6 kJ/mol of atoms

***

# 4
# KZnSbTe3

A relaxed structure of KZnSbTe3 (PBE, the Alexandria database).

Cell and atoms, written as CIF:
```
data_KZnSbTe3
_space_group_name_H-M_alt 'P 1'
_space_group_IT_number 1
_cell_length_a 4.4181
_cell_length_b 9.8794
_cell_length_c 10.3570
_cell_angle_alpha 106.43
_cell_angle_beta 90.00
_cell_angle_gamma 90.00
loop_
_space_group_symop_operation_xyz
'x,y,z'
loop_
_atom_site_label
_atom_site_type_symbol
_atom_site_fract_x
_atom_site_fract_y
_atom_site_fract_z
Te1 Te 0.2500 0.5497 0.8411
Te2 Te 0.2500 0.7975 0.4708
Te3 Te 0.2500 0.1189 0.8722
Te4 Te 0.7500 0.8811 0.1278
Te5 Te 0.7500 0.4503 0.1589
Te6 Te 0.7500 0.2025 0.5292
Sb1 Sb 0.2500 0.6651 0.1315
Sb2 Sb 0.7500 0.3349 0.8685
K1 K 0.7500 0.8075 0.7589
K2 K 0.2500 0.1925 0.2411
Zn1 Zn 0.2500 0.0820 0.6063
Zn2 Zn 0.7500 0.9180 0.3937
```

- Symmetry: P2_1/m (11)
- Raw formation energy: -504 meV per atom

***

# 5
# KZnSbTe2

A relaxed structure of KZnSbTe2 (PBE, the Alexandria database).

Cell and atoms, written as CIF:
```
data_KZnSbTe2
_space_group_name_H-M_alt 'P 1'
_space_group_IT_number 1
_cell_length_a 5.6502
_cell_length_b 5.6502
_cell_length_c 5.1668
_cell_angle_alpha 90.00
_cell_angle_beta 90.00
_cell_angle_gamma 90.00
loop_
_space_group_symop_operation_xyz
'x,y,z'
loop_
_atom_site_label
_atom_site_type_symbol
_atom_site_fract_x
_atom_site_fract_y
_atom_site_fract_z
Te1 Te 0.5000 0.0000 0.0000
Te2 Te 0.0000 0.5000 0.0000
Sb1 Sb 0.0000 0.0000 0.5000
Zn1 Zn 0.0000 0.0000 0.0000
K1 K 0.5000 0.5000 0.5000
```

- Symmetry: P4/mmm (123)
- Raw formation energy: -53 meV per atom
- Fermi-level density of states: 0.576 states/eV/atom
- Relative energy among the computed polymorphs: 0.0 kJ/mol of atoms

***

# 6
# KZnSbTe2

A relaxed structure of KZnSbTe2 (PBE, the Alexandria database).

Cell and atoms, written as CIF:
```
data_KZnSbTe2
_space_group_name_H-M_alt 'P 1'
_space_group_IT_number 1
_cell_length_a 6.3973
_cell_length_b 6.3973
_cell_length_c 6.4352
_cell_angle_alpha 90.00
_cell_angle_beta 90.00
_cell_angle_gamma 90.00
loop_
_space_group_symop_operation_xyz
'x,y,z'
loop_
_atom_site_label
_atom_site_type_symbol
_atom_site_fract_x
_atom_site_fract_y
_atom_site_fract_z
Te1 Te 0.0000 0.5000 0.0000
Te2 Te 0.5000 0.0000 0.0000
K1 K 0.0000 0.0000 0.0000
Zn1 Zn 0.5000 0.5000 0.5000
Sb1 Sb 0.0000 0.0000 0.5000
```

- Symmetry: P4/mmm (123)
- Raw formation energy: 1001 meV per atom
- Fermi-level density of states: 1.278 states/eV/atom
- Relative energy among the computed polymorphs: 101.7 kJ/mol of atoms

***

# 7
# KZnSb2Te

A relaxed structure of KZnSb2Te (PBE, the Alexandria database).

Cell and atoms, written as CIF:
```
data_KZnSb2Te
_space_group_name_H-M_alt 'P 1'
_space_group_IT_number 1
_cell_length_a 5.3007
_cell_length_b 5.3007
_cell_length_c 5.7887
_cell_angle_alpha 90.00
_cell_angle_beta 90.00
_cell_angle_gamma 90.00
loop_
_space_group_symop_operation_xyz
'x,y,z'
loop_
_atom_site_label
_atom_site_type_symbol
_atom_site_fract_x
_atom_site_fract_y
_atom_site_fract_z
Zn1 Zn 0.0000 0.0000 0.0000
K1 K 0.5000 0.5000 0.5000
Sb1 Sb 0.5000 0.0000 0.0000
Sb2 Sb 0.0000 0.5000 0.0000
Te1 Te 0.0000 0.0000 0.5000
```

- Symmetry: P4/mmm (123)
- Raw formation energy: 68 meV per atom
- Fermi-level density of states: 0.703 states/eV/atom
- Relative energy among the computed polymorphs: 0.0 kJ/mol of atoms

***

# 8
# K3ZrSb2Te6

A relaxed structure of K3ZrSb2Te6 (PBE, the Alexandria database).

Cell and atoms, written as CIF:
```
data_K3ZrSb2Te6
_space_group_name_H-M_alt 'P 1'
_space_group_IT_number 1
_cell_length_a 7.8154
_cell_length_b 7.8154
_cell_length_c 8.4945
_cell_angle_alpha 98.83
_cell_angle_beta 98.83
_cell_angle_gamma 120.05
loop_
_space_group_symop_operation_xyz
'x,y,z'
loop_
_atom_site_label
_atom_site_type_symbol
_atom_site_fract_x
_atom_site_fract_y
_atom_site_fract_z
Zr1 Zr 0.0000 0.0000 0.0000
Te1 Te 0.7489 0.7489 0.2008
Te2 Te 0.9338 0.6150 0.8010
Te3 Te 0.0662 0.3850 0.1990
Te4 Te 0.6150 0.9338 0.8010
Te5 Te 0.3850 0.0662 0.1990
Te6 Te 0.2511 0.2511 0.7992
K1 K 0.8281 0.1719 0.5000
K2 K 0.1719 0.8281 0.5000
K3 K 0.5000 0.5000 0.5000
Sb1 Sb 0.6659 0.3341 0.0000
Sb2 Sb 0.3341 0.6659 0.0000
```

- Symmetry: C2/m (12)
- Raw formation energy: -666 meV per atom
- Fermi-level density of states: 0.390 states/eV/atom